Record 1
# LiTl6 | Alexandria | GGA-PBE | optimized geometry
# Fermi-level density of states in states/eV/atom: 0.576
# M_tot in μB/f.u.: 0.00
# Distance to the lowest polymorph of the same formula in eV per formula unit: 2.77
# Space group: Im-3m
data_LiTl6
_chemical_formula_sum 'Li1 Tl6'
_symmetry_space_group_name_H-M 'P 1'
_symmetry_Int_Tables_number 1
_symmetry_space_group_name_Hall 'P 1'
_cell_length_a 7.393
_cell_length_b 7.393
_cell_length_c 7.393
_cell_angle_alpha 109.47
_cell_angle_beta 109.47
_cell_angle_gamma 109.47
loop_
_atom_site_label
_atom_site_fract_x
_atom_site_fract_y
_atom_site_fract_z
Tl1 0.500 0.250 0.750
Tl2 0.250 0.500 0.750
Tl3 0.750 0.250 0.500
Tl4 0.250 0.750 0.500
Tl5 0.500 0.750 0.250
Tl6 0.750 0.500 0.250
Li1 0.000 0.000 0.000


Record 2
# CaPrPd4 | Alexandria | GGA-PBE | optimized geometry
# Fermi-level density of states in states/eV/atom: 1.078
# Total energy in eV per atom: -5.3230
# M_tot in μB/f.u.: 0.00
# Space group: F-43m
data_CaPrPd4
_chemical_formula_sum 'Ca1 Pr1 Pd4'
_symmetry_space_group_name_H-M 'P 1'
_symmetry_Int_Tables_number 1
_symmetry_space_group_name_Hall 'P 1'
_cell_length_a 5.508
_cell_length_b 5.508
_cell_length_c 5.508
_cell_angle_alpha 60.00
_cell_angle_beta 60.00
_cell_angle_gamma 60.00
loop_
_atom_site_label
_atom_site_fract_x
_atom_site_fract_y
_atom_site_fract_z
Pd1 0.126 0.625 0.625
Pd2 0.625 0.625 0.126
Pd3 0.625 0.126 0.625
Pd4 0.625 0.625 0.625
Ca1 0.250 0.250 0.250
Pr1 0.000 0.000 0.000


Record 3
# TbMgCd17 | Alexandria | GGA-PBE | optimized geometry
# Fermi-level density of states in states/eV/atom: 0.353
# Total energy in eV per atom: -1.1809
# M_tot in μB/f.u.: 0.00
# Space group: R3m
data_TbMgCd17
_chemical_formula_sum 'Tb1 Mg1 Cd17'
_symmetry_space_group_name_H-M 'P 1'
_symmetry_Int_Tables_number 1
_symmetry_space_group_name_Hall 'P 1'
_cell_length_a 7.733
_cell_length_b 7.733
_cell_length_c 7.733
_cell_angle_alpha 80.73
_cell_angle_beta 80.73
_cell_angle_gamma 80.73
loop_
_atom_site_label
_atom_site_fract_x
_atom_site_fract_y
_atom_site_fract_z
Cd1 0.890 0.890 0.890
Cd2 0.371 0.371 0.811
Cd3 0.688 0.000 0.302
Cd4 0.650 0.125 0.650
Cd5 0.371 0.811 0.371
Cd6 0.473 0.012 0.012
Cd7 0.012 0.012 0.473
Cd8 0.000 0.688 0.302
Cd9 0.000 0.302 0.688
Cd10 0.302 0.000 0.688
Cd11 0.083 0.083 0.083
Cd12 0.688 0.302 0.000
Cd13 0.811 0.371 0.371
Cd14 0.125 0.650 0.650
Cd15 0.302 0.688 0.000
Cd16 0.650 0.650 0.125
Cd17 0.012 0.473 0.012
Tb1 0.668 0.668 0.668
Mg1 0.404 0.404 0.404


Record 4
# DyLuMg2 | Alexandria | GGA-PBE | optimized geometry
# Fermi-level density of states in states/eV/atom: 1.228
# M_tot in μB/f.u.: 0.00
# Distance to the lowest polymorph of the same formula in eV per formula unit: 0.02
# Space group: P4/mmm
data_DyLuMg2
_chemical_formula_sum 'Dy1 Lu1 Mg2'
_symmetry_space_group_name_H-M 'P 1'
_symmetry_Int_Tables_number 1
_symmetry_space_group_name_Hall 'P 1'
_cell_length_a 3.776
_cell_length_b 5.305
_cell_length_c 5.305
_cell_angle_alpha 90.00
_cell_angle_beta 90.00
_cell_angle_gamma 90.00
loop_
_atom_site_label
_atom_site_fract_x
_atom_site_fract_y
_atom_site_fract_z
Mg1 0.000 0.500 0.000
Mg2 0.000 0.000 0.500
Dy1 0.500 0.000 0.000
Lu1 0.500 0.500 0.500


Record 5
# Ac4Zn3Cu | Alexandria | GGA-PBE | optimized geometry
# Fermi-level density of states in states/eV/atom: 1.062
# Total energy in eV per atom: -3.2471
# M_tot in μB/f.u.: 0.00
# Space group: P4/mmm
data_Ac4Zn3Cu
_chemical_formula_sum 'Ac4 Zn3 Cu1'
_symmetry_space_group_name_H-M 'P 1'
_symmetry_Int_Tables_number 1
_symmetry_space_group_name_Hall 'P 1'
_cell_length_a 3.891
_cell_length_b 3.891
_cell_length_c 15.549
_cell_angle_alpha 90.00
_cell_angle_beta 90.00
_cell_angle_gamma 90.00
loop_
_atom_site_label
_atom_site_fract_x
_atom_site_fract_y
_atom_site_fract_z
Ac1 0.000 0.000 0.373
Ac2 0.000 0.000 0.879
Ac3 0.000 0.000 0.121
Ac4 0.000 0.000 0.627
Zn1 0.500 0.500 0.751
Zn2 0.500 0.500 0.249
Zn3 0.500 0.500 0.500
Cu1 0.500 0.500 0.000


Record 6
# Rb3Tm3HfTe8 | Alexandria | GGA-PBE | optimized geometry
# M_tot in μB/f.u.: 0.00
# Space group: R-3m
# E_form (uncorrected) in eV/atom: -1.25
data_Rb3Tm3HfTe8
_chemical_formula_sum 'Rb3 Tm3 Hf1 Te8'
_symmetry_space_group_name_H-M 'P 1'
_symmetry_Int_Tables_number 1
_symmetry_space_group_name_Hall 'P 1'
_cell_length_a 8.727
_cell_length_b 8.724
_cell_length_c 10.106
_cell_angle_alpha 115.59
_cell_angle_beta 90.00
_cell_angle_gamma 120.01
loop_
_atom_site_label
_atom_site_fract_x
_atom_site_fract_y
_atom_site_fract_z
Tm1 0.000 0.500 0.500
Tm2 0.500 0.000 0.500
Tm3 0.500 0.500 0.500
Rb1 0.000 0.000 0.000
Rb2 0.000 0.500 0.000
Rb3 0.500 0.500 0.000
Te1 0.743 0.967 0.691
Te2 0.776 0.033 0.309
Te3 0.267 0.535 0.303
Te4 0.257 0.033 0.309
Te5 0.776 0.551 0.309
Te6 0.224 0.967 0.691
Te7 0.733 0.465 0.697
Te8 0.224 0.449 0.691
Hf1 0.000 0.000 0.500


Record 7
# Sm12ErTl3 | Alexandria | GGA-PBE | optimized geometry
# Fermi-level density of states in states/eV/atom: 1.439
# Total energy in eV per atom: -4.4067
# M_tot in μB/f.u.: 0.00
# Space group: P4/mmm
data_Sm12ErTl3
_chemical_formula_sum 'Sm12 Er1 Tl3'
_symmetry_space_group_name_H-M 'P 1'
_symmetry_Int_Tables_number 1
_symmetry_space_group_name_Hall 'P 1'
_cell_length_a 4.946
_cell_length_b 4.946
_cell_length_c 20.197
_cell_angle_alpha 90.00
_cell_angle_beta 90.00
_cell_angle_gamma 90.00
loop_
_atom_site_label
_atom_site_fract_x
_atom_site_fract_y
_atom_site_fract_z
Sm1 0.000 0.500 0.870
Sm2 0.000 0.500 0.623
Sm3 0.500 0.000 0.623
Sm4 0.500 0.000 0.130
Sm5 0.500 0.500 0.000
Sm6 0.500 0.500 0.253
Sm7 0.500 0.500 0.747
Sm8 0.000 0.500 0.130
Sm9 0.500 0.000 0.377
Sm10 0.000 0.500 0.377
Sm11 0.500 0.500 0.500
Sm12 0.500 0.000 0.870
Tl1 0.000 0.000 0.500
Tl2 0.000 0.000 0.256
Tl3 0.000 0.000 0.744
Er1 0.000 0.000 0.000


Record 8
# NpNbCo | Alexandria | GGA-PBE | optimized geometry
# Fermi-level density of states in states/eV/atom: 1.703
# Total energy in eV per atom: -9.8824
# M_tot in μB/f.u.: 0.77
# Space group: C2/m
data_NpNbCo
_chemical_formula_sum 'Np2 Nb2 Co2'
_symmetry_space_group_name_H-M 'P 1'
_symmetry_Int_Tables_number 1
_symmetry_space_group_name_Hall 'P 1'
_cell_length_a 2.666
_cell_length_b 9.583
_cell_length_c 4.865
_cell_angle_alpha 51.71
_cell_angle_beta 90.00
_cell_angle_gamma 98.00
loop_
_atom_site_label
_atom_site_fract_x
_atom_site_fract_y
_atom_site_fract_z
Np1 0.464 0.929 0.353
Np2 0.536 0.071 0.647
Nb1 0.839 0.678 0.148
Nb2 0.161 0.322 0.852
Co1 0.197 0.394 0.278
Co2 0.803 0.606 0.722